[1]
Here is a relaxed structure of B3RuN3 from the Alexandria database. Energies are from PBE-GGA.

a b c (Å): 4.669 4.669 4.669
angles (deg): 90.00 90.00 90.00
Last column: magnetic moment on the atom in μB.
Atoms (fractional coordinates):
B (0.250, 0.000, 0.500)  -0.01
B (0.000, 0.500, 0.250)  -0.01
B (0.500, 0.750, 0.000)  -0.01
B (0.750, 0.000, 0.500)  -0.01
B (0.000, 0.500, 0.750)  -0.01
B (0.500, 0.250, 0.000)  -0.01
Ru (0.500, 0.500, 0.500)  1.73
Ru (0.000, 0.000, 0.000)  1.73
N (0.000, 0.250, 0.500)  0.06
N (0.000, 0.750, 0.500)  0.06
N (0.500, 0.000, 0.750)  0.06
N (0.750, 0.500, 0.000)  0.06
N (0.500, 0.000, 0.250)  0.06
N (0.250, 0.500, 0.000)  0.06

Space group = Pm-3n, No. 223

=====

[2]
Here is a relaxed structure of Cs4Pr3AlSe8 from the Alexandria database. Energies are from PBE-GGA.

a b c (Å): 8.651 9.776 8.653
angles (deg): 116.29 119.99 90.00
Atoms (fractional coordinates):
Cs (0.500, 0.000, 0.000)
Cs (0.500, 0.000, 0.500)
Cs (0.000, 0.000, 0.000)
Cs (0.000, 0.000, 0.500)
Pr (0.500, 0.500, 0.000)
Pr (0.500, 0.500, 0.500)
Pr (0.000, 0.500, 0.500)
Al (0.000, 0.500, 0.000)
Se (0.212, 0.681, 0.968)
Se (0.213, 0.681, 0.426)
Se (0.268, 0.305, 0.537)
Se (0.756, 0.681, 0.968)
Se (0.244, 0.319, 0.032)
Se (0.732, 0.695, 0.463)
Se (0.787, 0.319, 0.574)
Se (0.788, 0.319, 0.032)

Space group = R-3m, No. 166

=====

[3]
Here is a relaxed structure of RbScS2O8 from the Alexandria database. Energies are from PBE-GGA.

a b c (Å): 5.299 5.299 8.245
angles (deg): 90.00 90.00 120.00
Atoms (fractional coordinates):
Rb (0.000, 0.000, 0.500)
Sc (0.000, 0.000, 0.000)
S (0.333, 0.667, 0.217)
S (0.667, 0.333, 0.783)
O (0.181, 0.362, 0.153)
O (0.638, 0.819, 0.153)
O (0.362, 0.181, 0.847)
O (0.181, 0.819, 0.153)
O (0.819, 0.638, 0.847)
O (0.819, 0.181, 0.847)
O (0.333, 0.667, 0.393)
O (0.667, 0.333, 0.607)

Space group = P-3m1, No. 164

=====

[4]
Here is a relaxed structure of PrHoTmHg from the Alexandria database. Energies are from PBE-GGA.

a b c (Å): 3.633 3.633 8.895
angles (deg): 90.00 90.00 90.00
Atoms (fractional coordinates):
Pr (0.000, 0.000, 0.073)
Ho (0.500, 0.500, 0.786)
Tm (0.500, 0.500, 0.358)
Hg (0.000, 0.000, 0.568)

Calculated formation energy = -0.23 eV/atom
Relative energy among the computed polymorphs = 0.00 eV per formula unit
Space group = P4mm, No. 99

=====

[5]
Here is a relaxed structure of Cs2MgSbS4 from the Alexandria database. Energies are from PBE-GGA.

a b c (Å): 6.372 8.052 12.924
angles (deg): 84.40 75.73 66.69
Last column: magnetic moment on the atom in μB.
Atoms (fractional coordinates):
Cs (0.178, 0.000, 0.644)  0.01
Cs (0.822, 0.000, 0.356)  0.01
Cs (0.572, 0.500, 0.856)  0.01
Cs (0.928, 0.500, 0.144)  0.01
Mg (0.750, 0.500, 0.500)  0.00
Mg (0.000, 0.000, 0.000)  0.00
Sb (0.250, 0.500, 0.500)  0.13
Sb (0.500, 0.000, 0.000)  0.13
S (0.290, 0.807, 0.101)  0.11
S (0.199, 0.193, 0.899)  0.11
S (0.902, 0.807, 0.899)  0.11
S (0.608, 0.193, 0.101)  0.11
S (0.460, 0.693, 0.399)  0.11
S (0.551, 0.307, 0.601)  0.11
S (0.848, 0.693, 0.601)  0.11
S (0.142, 0.307, 0.399)  0.11

Space group = Fddd, No. 70

=====

[6]
Here is a relaxed structure of Mg3Tc2 from the Alexandria database. Energies are from PBE-GGA.

a b c (Å): 11.848 11.749 2.759
angles (deg): 85.34 81.24 13.42
Atoms (fractional coordinates):
Mg (0.808, 0.808, 0.192)
Mg (0.192, 0.192, 0.808)
Mg (0.000, 0.000, 0.000)
Tc (0.597, 0.597, 0.403)
Tc (0.403, 0.403, 0.597)

Calculated formation energy = 0.25 eV/atom
Relative energy among the computed polymorphs = 1.25 eV per formula unit
Space group = Fmmm, No. 69

=====

[7]
Here is a relaxed structure of VCoPb2S from the Alexandria database. Energies are from PBE-GGA.

a b c (Å): 5.416 4.093 5.416
angles (deg): 90.00 90.00 90.00
Last column: magnetic moment on the atom in μB.
Atoms (fractional coordinates):
Pb (0.000, 0.000, 0.500)  0.01
Pb (0.500, 0.000, 0.000)  0.01
S (0.500, 0.500, 0.500)  0.13
Co (0.000, 0.500, 0.000)  0.34
V (0.000, 0.000, 0.000)  0.91

Space group = P4/mmm, No. 123

=====

[8]
Here is a relaxed structure of Ti2As2Pb from the Alexandria database. Energies are from PBE-GGA.

a b c (Å): 7.669 7.669 3.342
angles (deg): 90.00 90.00 90.00
Atoms (fractional coordinates):
Pb (0.000, 0.000, 0.000)
Pb (0.500, 0.500, 0.000)
As (0.359, 0.859, 0.000)
As (0.859, 0.641, 0.000)
As (0.641, 0.141, 0.000)
As (0.141, 0.359, 0.000)
Ti (0.136, 0.636, 0.500)
Ti (0.636, 0.864, 0.500)
Ti (0.864, 0.364, 0.500)
Ti (0.364, 0.136, 0.500)

Calculated formation energy = -0.32 eV/atom
Relative energy among the computed polymorphs = 0.49 eV per formula unit
Space group = P4/mbm, No. 127

=====

Quick rundown of total energy, same order as above: -7.32 -4.56 -6.65 -3.77 -3.87 -4.86 -4.75 -6.07 eV per atom